Model w:
First-principles (PBE) data for an optimized crystal structure of RhWI2, as listed in Alexandria via LeMat-Bulk.

- DOS at the Fermi energy: 8.8 states/eV/cell
- Crystal system: tetragonal

Cell lengths 6.1320, 6.1320, 7.2821 Å; angles 65.10, 65.10, 90.00 degrees
Last column: nearest neighbours and their distance in Å.
Atoms (fractional coordinates):
Rh  0.5000  0.5000  0.0000  4 I 2.61
I  0.6223  0.1250  0.2500  2 Rh 2.61, 2 W 2.62
W  0.0000  0.0000  0.0000  4 I 2.62
I  0.1277  0.6250  0.2500  2 Rh 2.61, 2 W 2.62
I  0.8750  0.8723  0.7500  2 Rh 2.61, 2 W 2.62
W  0.7500  0.2500  0.5000  4 I 2.62
Rh  0.2500  0.7500  0.5000  4 I 2.61
I  0.3750  0.3777  0.7500  2 Rh 2.61, 2 W 2.62

Model x:
First-principles (PBE) data for an optimized crystal structure of RhWI2, as listed in Alexandria via LeMat-Bulk.

- DOS at the Fermi energy: 3.4 states/eV/cell
- Crystal system: cubic

Cell lengths 4.8208, 4.8208, 4.8208 Å; angles 60.00, 60.00, 60.00 degrees
Last column: nearest neighbours and their distance in Å.
Atoms (fractional coordinates):
W  0.5000  0.5000  0.5000  8 I 2.95
Rh  0.0000  0.0000  0.0000  8 I 2.95
I  0.2500  0.2500  0.2500  4 W 2.95, 4 Rh 2.95
I  0.7500  0.7500  0.7500  4 W 2.95, 4 Rh 2.95

Which structure is the least stable? The one labeled model x.

Model w:
First-principles (PBE) data for an optimized crystal structure of Zn2RhI, as listed in Alexandria via LeMat-Bulk.

- DOS at the Fermi energy: 0.1 states/eV/cell
- Crystal system: cubic

Cell lengths 4.7117, 4.7117, 4.7117 Å; angles 60.00, 60.00, 60.00 degrees
Last column: nearest neighbours and their distance in Å.
Atoms (fractional coordinates):
Zn  0.2500  0.2500  0.2500  4 Rh 2.89, 4 I 2.89
I  0.5000  0.5000  0.5000  8 Zn 2.89
Rh  0.0000  0.0000  0.0000  8 Zn 2.89
Zn  0.7500  0.7500  0.7500  4 I 2.89, 4 Rh 2.89

Model x:
First-principles (PBE) data for an optimized crystal structure of Zn2RhI, as listed in Alexandria via LeMat-Bulk.

- DOS at the Fermi energy: 0.0 states/eV/cell
- Crystal system: tetragonal

Cell lengths 6.2215, 6.2215, 7.3131 Å; angles 64.83, 64.83, 90.00 degrees
Last column: nearest neighbours and their distance in Å.
Atoms (fractional coordinates):
Zn  0.8750  0.8103  0.7500  2 Rh 2.43
Rh  0.5000  0.5000  0.0000  4 Zn 2.43
I  0.7500  0.2500  0.5000  4 Zn 2.90
Zn  0.1897  0.6250  0.2500  2 Rh 2.43
I  0.0000  0.0000  0.0000  4 Zn 2.90
Zn  0.3750  0.4397  0.7500  2 Rh 2.43
Rh  0.2500  0.7500  0.5000  4 Zn 2.43
Zn  0.5603  0.1250  0.2500  2 Rh 2.43

Which structure is the least stable? The one labeled model w.

Model w:
First-principles (PBE) data for an optimized crystal structure of ZnRhI2, as listed in Alexandria via LeMat-Bulk.

- DOS at the Fermi energy: 10.2 states/eV/cell
- Crystal system: tetragonal

Cell lengths 6.2405, 6.2405, 7.5655 Å; angles 65.64, 65.64, 90.00 degrees
Last column: nearest neighbours and their distance in Å.
Atoms (fractional coordinates):
I  0.6422  0.1250  0.2500  2 Rh 2.63, 2 Zn 2.75
I  0.3750  0.3578  0.7500  2 Rh 2.63, 2 Zn 2.75
Rh  0.7500  0.2500  0.5000  4 I 2.63
Zn  0.2500  0.7500  0.5000  4 I 2.75
Rh  0.0000  0.0000  0.0000  4 I 2.63
Zn  0.5000  0.5000  0.0000  4 I 2.75
I  0.8750  0.8922  0.7500  2 Rh 2.63, 2 Zn 2.75
I  0.1078  0.6250  0.2500  2 Rh 2.63, 2 Zn 2.75

Model x:
First-principles (PBE) data for an optimized crystal structure of ZnRhI2, as listed in Alexandria via LeMat-Bulk.

- DOS at the Fermi energy: 5.4 states/eV/cell
- Crystal system: cubic

Cell lengths 5.1201, 5.1201, 5.1201 Å; angles 60.00, 60.00, 60.00 degrees
Last column: nearest neighbours and their distance in Å.
Atoms (fractional coordinates):
I  0.2500  0.2500  0.2500  4 Rh 3.14, 4 Zn 3.14
Rh  0.5000  0.5000  0.5000  8 I 3.14
Zn  0.0000  0.0000  0.0000  8 I 3.14
I  0.7500  0.7500  0.7500  4 Rh 3.14, 4 Zn 3.14

Which structure is the least stable? The one labeled model x.

Model w:
First-principles (PBE) data for an optimized crystal structure of ZrRh3I, as listed in Alexandria via LeMat-Bulk.

- DOS at the Fermi energy: 5.5 states/eV/cell
- Crystal system: cubic

Cell lengths 4.8816, 4.8816, 4.8816 Å; angles 90.00, 90.00, 90.00 degrees
Last column: nearest neighbours and their distance in Å.
Atoms (fractional coordinates):
I  0.5000  0.5000  0.5000  12 Rh 3.45
Rh  0.0000  0.5000  0.0000  2 Zr 2.44
Rh  0.5000  0.0000  0.0000  2 Zr 2.44
Zr  0.0000  0.0000  0.0000  6 Rh 2.44
Rh  0.0000  0.0000  0.5000  2 Zr 2.44

Model x:
First-principles (PBE) data for an optimized crystal structure of ZrRh3I, as listed in Alexandria via LeMat-Bulk.

- DOS at the Fermi energy: 5.3 states/eV/cell
- Crystal system: cubic

Cell lengths 4.7884, 4.7884, 4.7884 Å; angles 90.00, 90.00, 90.00 degrees
Last column: nearest neighbours and their distance in Å.
Atoms (fractional coordinates):
Rh  0.0000  0.5000  0.0000  2 I 2.39
Rh  0.5000  0.0000  0.0000  2 I 2.39
Zr  0.5000  0.5000  0.5000  12 Rh 3.39
Rh  0.0000  0.0000  0.5000  2 I 2.39
I  0.0000  0.0000  0.0000  6 Rh 2.39

Which structure is the least stable? The one labeled model w.

Model w:
First-principles (PBE) data for an optimized crystal structure of Ru3SI, as listed in Alexandria via LeMat-Bulk.

- DOS at the Fermi energy: 7.5 states/eV/cell
- Crystal system: cubic

Cell lengths 4.8720, 4.8720, 4.8720 Å; angles 90.00, 90.00, 90.00 degrees
Last column: nearest neighbours and their distance in Å.
Atoms (fractional coordinates):
Ru  0.0000  0.5000  0.0000  2 I 2.44
Ru  0.5000  0.0000  0.0000  2 I 2.44
Ru  0.0000  0.0000  0.5000  2 I 2.44
I  0.0000  0.0000  0.0000  6 Ru 2.44
S  0.5000  0.5000  0.5000  12 Ru 3.45

Model x:
First-principles (PBE) data for an optimized crystal structure of Ru3SI, as listed in Alexandria via LeMat-Bulk.

- DOS at the Fermi energy: 10.6 states/eV/cell
- Crystal system: cubic

Cell lengths 4.4633, 4.4633, 4.4633 Å; angles 90.00, 90.00, 90.00 degrees
Last column: nearest neighbours and their distance in Å.
Atoms (fractional coordinates):
Ru  0.5000  0.0000  0.0000  2 S 2.23
Ru  0.0000  0.5000  0.0000  2 S 2.23
Ru  0.0000  0.0000  0.5000  2 S 2.23
S  0.0000  0.0000  0.0000  6 Ru 2.23
I  0.5000  0.5000  0.5000  12 Ru 3.16

Which structure is the least stable? The one labeled model w.

Model w:
First-principles (PBE) data for an optimized crystal structure of Ru2SI, as listed in Alexandria via LeMat-Bulk.

- DOS at the Fermi energy: 9.0 states/eV/cell
- Crystal system: tetragonal

Cell lengths 5.2320, 5.2320, 7.2111 Å; angles 68.73, 68.73, 90.00 degrees
Last column: nearest neighbours and their distance in Å.
Atoms (fractional coordinates):
I  0.0000  0.0000  0.0000  4 Ru 2.65
S  0.2500  0.7500  0.5000  4 Ru 2.22
I  0.7500  0.2500  0.5000  4 Ru 2.65
S  0.5000  0.5000  0.0000  4 Ru 2.22
Ru  0.8750  0.7973  0.7500  2 S 2.22
Ru  0.2027  0.6250  0.2500  2 S 2.22
Ru  0.3750  0.4527  0.7500  2 S 2.22
Ru  0.5473  0.1250  0.2500  2 S 2.22

Model x:
First-principles (PBE) data for an optimized crystal structure of Ru2SI, as listed in Alexandria via LeMat-Bulk.

- DOS at the Fermi energy: 4.8 states/eV/cell
- Crystal system: cubic

Cell lengths 4.5280, 4.5280, 4.5280 Å; angles 60.00, 60.00, 60.00 degrees
Last column: nearest neighbours and their distance in Å.
Atoms (fractional coordinates):
Ru  0.7500  0.7500  0.7500  4 S 2.77, 4 I 2.77
S  0.0000  0.0000  0.0000  8 Ru 2.77
Ru  0.2500  0.2500  0.2500  4 S 2.77, 4 I 2.77
I  0.5000  0.5000  0.5000  8 Ru 2.77

Which structure is the least stable? The one labeled model x.

Model w:
First-principles (PBE) data for an optimized crystal structure of SbRuSI2, as listed in Alexandria via LeMat-Bulk.

- DOS at the Fermi energy: 6.8 states/eV/cell
- Crystal system: tetragonal

Cell lengths 5.5408, 5.5408, 5.1654 Å; angles 90.00, 90.00, 90.00 degrees
Last column: nearest neighbours and their distance in Å.
Atoms (fractional coordinates):
S  0.0000  0.0000  0.0000  2 Sb 2.58, 4 I 2.77
I  0.0000  0.5000  0.0000  2 S 2.77
I  0.5000  0.0000  0.0000  2 S 2.77
Sb  0.0000  0.0000  0.5000  2 S 2.58
Ru  0.5000  0.5000  0.5000  8 I 3.79, 4 Sb 3.92

Model x:
First-principles (PBE) data for an optimized crystal structure of SbRuSI2, as listed in Alexandria via LeMat-Bulk.

- DOS at the Fermi energy: 6.8 states/eV/cell
- Crystal system: tetragonal

Cell lengths 5.3135, 5.3135, 5.1262 Å; angles 90.00, 90.00, 90.00 degrees
Last column: nearest neighbours and their distance in Å.
Atoms (fractional coordinates):
S  0.5000  0.5000  0.5000  8 I 3.69, 4 Sb 3.76
I  0.0000  0.5000  0.0000  2 Ru 2.66
Sb  0.0000  0.0000  0.5000  2 Ru 2.56
Ru  0.0000  0.0000  0.0000  2 Sb 2.56, 4 I 2.66
I  0.5000  0.0000  0.0000  2 Ru 2.66

Which structure is the least stable? The one labeled model w.

Model w:
First-principles (PBE) data for an optimized crystal structure of Sb2RuSI, as listed in Alexandria via LeMat-Bulk.

- DOS at the Fermi energy: 5.3 states/eV/cell
- Crystal system: tetragonal

Cell lengths 5.1405, 5.1405, 5.4068 Å; angles 90.00, 90.00, 90.00 degrees
Last column: nearest neighbours and their distance in Å.
Atoms (fractional coordinates):
I  0.0000  0.0000  0.5000  2 S 2.70
Sb  0.5000  0.0000  0.0000  2 S 2.57
S  0.0000  0.0000  0.0000  4 Sb 2.57, 2 I 2.70
Sb  0.0000  0.5000  0.0000  2 S 2.57
Ru  0.5000  0.5000  0.5000  4 I 3.63, 8 Sb 3.73

Model x:
First-principles (PBE) data for an optimized crystal structure of Sb2RuSI, as listed in Alexandria via LeMat-Bulk.

- DOS at the Fermi energy: 6.4 states/eV/cell
- Crystal system: tetragonal

Cell lengths 5.0976, 5.0976, 5.3511 Å; angles 90.00, 90.00, 90.00 degrees
Last column: nearest neighbours and their distance in Å.
Atoms (fractional coordinates):
Ru  0.0000  0.0000  0.0000  4 Sb 2.55, 2 I 2.68
Sb  0.5000  0.0000  0.0000  2 Ru 2.55
Sb  0.0000  0.5000  0.0000  2 Ru 2.55
S  0.5000  0.5000  0.5000  4 I 3.60, 8 Sb 3.70
I  0.0000  0.0000  0.5000  2 Ru 2.68

Which structure is the least stable? The one labeled model w.

Model w:
First-principles (PBE) data for an optimized crystal structure of Sb2Ru2I, as listed in Alexandria via LeMat-Bulk.

- DOS at the Fermi energy: 9.6 states/eV/cell
- Crystal system: tetragonal

Cell lengths 7.9101, 7.9101, 3.2679 Å; angles 90.00, 90.00, 90.00 degrees
Last column: nearest neighbours and their distance in Å.
Atoms (fractional coordinates):
Ru  0.6366  0.1366  0.0000  6 Sb 2.76-2.95, 1 Ru 3.06, 2 I 3.07
Sb  0.1442  0.6442  0.5000  6 Ru 2.76-2.95
Ru  0.1366  0.3634  0.0000  6 Sb 2.76-2.95, 1 Ru 3.06, 2 I 3.07
I  0.5000  0.5000  0.0000  4 Ru 3.07, 2 I 3.27
Ru  0.8634  0.6366  0.0000  6 Sb 2.76-2.95, 1 Ru 3.06, 2 I 3.07
Sb  0.3558  0.1442  0.5000  6 Ru 2.76-2.95
Sb  0.8558  0.3558  0.5000  6 Ru 2.76-2.95
I  0.0000  0.0000  0.0000  4 Ru 3.07, 2 I 3.27
Sb  0.6442  0.8558  0.5000  6 Ru 2.76-2.95
Ru  0.3634  0.8634  0.0000  6 Sb 2.76-2.95, 1 Ru 3.06, 2 I 3.07

Model x:
First-principles (PBE) data for an optimized crystal structure of Sb2Ru2I, as listed in Alexandria via LeMat-Bulk.

- DOS at the Fermi energy: 5.4 states/eV/cell
- Crystal system: tetragonal

Cell lengths 4.5465, 4.5465, 6.4536 Å; angles 69.38, 69.38, 90.00 degrees
Last column: nearest neighbours and their distance in Å.
Atoms (fractional coordinates):
Ru  0.2500  0.7500  0.5000  4 Sb 2.62
Sb  0.6343  0.6343  0.7314  4 Ru 2.62
Sb  0.3657  0.3657  0.2686  4 Ru 2.62
I  0.0000  0.0000  0.0000  8 Sb 3.55, 8 Ru 3.61
Ru  0.7500  0.2500  0.5000  4 Sb 2.62

Which structure is the least stable? The one labeled model x.

Model w:
First-principles (PBE) data for an optimized crystal structure of SbRuI3, as listed in Alexandria via LeMat-Bulk.

- DOS at the Fermi energy: 37.4 states/eV/cell
- Crystal system: cubic

Cell lengths 6.0141, 6.0141, 6.0141 Å; angles 90.00, 90.00, 90.00 degrees
Last column: nearest neighbours and their distance in Å.
Atoms (fractional coordinates):
I  0.0000  0.5000  0.0000  2 Sb 3.01
Ru  0.5000  0.5000  0.5000  12 I 4.25
I  0.0000  0.0000  0.5000  2 Sb 3.01
I  0.5000  0.0000  0.0000  2 Sb 3.01
Sb  0.0000  0.0000  0.0000  6 I 3.01

Model x:
First-principles (PBE) data for an optimized crystal structure of SbRuI3, as listed in Alexandria via LeMat-Bulk.

- DOS at the Fermi energy: 4.0 states/eV/cell
- Crystal system: cubic

Cell lengths 5.3460, 5.3460, 5.3460 Å; angles 90.00, 90.00, 90.00 degrees
Last column: nearest neighbours and their distance in Å.
Atoms (fractional coordinates):
I  0.0000  0.5000  0.0000  2 Ru 2.67
Sb  0.5000  0.5000  0.5000  12 I 3.78
Ru  0.0000  0.0000  0.0000  6 I 2.67
I  0.0000  0.0000  0.5000  2 Ru 2.67
I  0.5000  0.0000  0.0000  2 Ru 2.67

Which structure is the least stable? The one labeled model w.

Model w:
First-principles (PBE) data for an optimized crystal structure of SbRuI2, as listed in Alexandria via LeMat-Bulk.

- DOS at the Fermi energy: 2.6 states/eV/cell
- Crystal system: cubic

Cell lengths 5.2280, 5.2280, 5.2280 Å; angles 60.00, 60.00, 60.00 degrees
Last column: nearest neighbours and their distance in Å.
Atoms (fractional coordinates):
I  0.2500  0.2500  0.2500  4 Sb 3.20, 4 Ru 3.20
Sb  0.5000  0.5000  0.5000  8 I 3.20
Ru  0.0000  0.0000  0.0000  8 I 3.20
I  0.7500  0.7500  0.7500  4 Sb 3.20, 4 Ru 3.20

Model x:
First-principles (PBE) data for an optimized crystal structure of SbRuI2, as listed in Alexandria via LeMat-Bulk.

- DOS at the Fermi energy: 5.3 states/eV/cell
- Crystal system: tetragonal

Cell lengths 10.1492, 10.1492, 7.6128 Å; angles 48.20, 48.20, 90.00 degrees
Last column: nearest neighbours and their distance in Å.
Atoms (fractional coordinates):
I  0.8750  0.7222  0.7500  2 Ru 2.80
I  0.2778  0.6250  0.2500  2 Ru 2.80
Ru  0.5000  0.5000  0.0000  2 Sb 2.54, 4 I 2.80
Sb  0.7500  0.2500  0.5000  2 Ru 2.54
I  0.4722  0.1250  0.2500  2 Ru 2.80
Sb  0.0000  0.0000  0.0000  2 Ru 2.54
I  0.3750  0.5278  0.7500  2 Ru 2.80
Ru  0.2500  0.7500  0.5000  2 Sb 2.54, 4 I 2.80

Which structure is the least stable? The one labeled model w.

Model w:
First-principles (PBE) data for an optimized crystal structure of Sb3RuI, as listed in Alexandria via LeMat-Bulk.

- DOS at the Fermi energy: 7.4 states/eV/cell
- Crystal system: cubic

Cell lengths 5.6046, 5.6046, 5.6046 Å; angles 90.00, 90.00, 90.00 degrees
Last column: nearest neighbours and their distance in Å.
Atoms (fractional coordinates):
Sb  0.0000  0.5000  0.0000  2 I 2.80
I  0.0000  0.0000  0.0000  6 Sb 2.80
Sb  0.0000  0.0000  0.5000  2 I 2.80
Sb  0.5000  0.0000  0.0000  2 I 2.80
Ru  0.5000  0.5000  0.5000  12 Sb 3.96

Model x:
First-principles (PBE) data for an optimized crystal structure of Sb3RuI, as listed in Alexandria via LeMat-Bulk.

- DOS at the Fermi energy: 5.4 states/eV/cell
- Crystal system: cubic

Cell lengths 5.2168, 5.2168, 5.2168 Å; angles 90.00, 90.00, 90.00 degrees
Last column: nearest neighbours and their distance in Å.
Atoms (fractional coordinates):
Sb  0.0000  0.5000  0.0000  2 Ru 2.61
Sb  0.0000  0.0000  0.5000  2 Ru 2.61
Sb  0.5000  0.0000  0.0000  2 Ru 2.61
Ru  0.0000  0.0000  0.0000  6 Sb 2.61
I  0.5000  0.5000  0.5000  12 Sb 3.69

Which structure is the least stable? The one labeled model w.